! Fe2As2Au | the Alexandria database | PBE-GGA | relaxed; values from VASP
! Fermi-level density of states (states/eV/atom): 0.6509
! Formation energy from the elements (meV/atom): 235
! Energy relative to the lowest polymorph listed for this composition (meV/atom): 119
! Total magnetic moment (μB/atom): 0.0000
! Energy (eV for the cell shown): -28.3
! Crystal system: tetragonal
&SYSTEM
  ibrav = 0, nat = 5, ntyp = 3
/
ATOMIC_SPECIES
Fe 55.84 Fe.upf
As 74.92 As.upf
Au 196.97 Au.upf
CELL_PARAMETERS angstrom
-1.876 1.876 5.324
1.876 -1.876 5.324
1.876 1.876 -5.324
ATOMIC_POSITIONS crystal
Fe 0.115 0.115 0.000
Fe 0.885 0.885 0.000
As 0.250 0.750 0.500
As 0.750 0.250 0.500
Au 0.500 0.500 0.000